[1]
A geometry-optimized Mg2MnCr structure. Source: the Alexandria database, functional PBE.

```
4
Lattice="0.0000 3.1939 3.1939 3.1939 0.0000 3.1939 3.1939 3.1939 0.0000" Properties=species:S:1:pos:R:3 pbc="T T T"
Cr 0.0000 0.0000 0.0000
Mg 1.5969 1.5969 1.5969
Mg 4.7908 4.7908 4.7908
Mn 3.1939 3.1939 3.1939
```

Computed properties:
energy above the lowest structure with this stoichiometry: 0.530 eV per atom
size of the total moment: 3.8 μB per formula unit
D(E_F): 9.710 states/eV per cell
energy of formation from the pure elements: 0.69 eV per atom


[2]
A geometry-optimized Ba4Cd3Sn structure. Source: the Alexandria database, functional PBE.

```
8
Lattice="5.7641 0.0000 1.7015 2.6309 5.1287 1.7015 0.0448 0.0274 10.4625" Properties=species:S:1:pos:R:3 pbc="T T T"
Ba 7.3758 4.5060 6.8559
Ba 3.1773 1.9411 10.4647
Ba 1.0640 0.6500 7.0096
Ba 5.2625 3.2150 3.4008
Sn 0.0000 0.0000 0.0000
Cd 2.0898 1.2767 3.5346
Cd 6.3500 3.8793 10.3309
Cd 4.2199 2.5780 6.9327
```

Computed properties:
size of the total moment: 0.0 μB per formula unit
D(E_F): 5.538 states/eV per cell
energy of formation from the pure elements: -0.41 eV per atom


[3]
A geometry-optimized TbGa3CuPt structure. Source: the Alexandria database, functional PBE.

```
12
Lattice="6.0009 0.0000 0.0000 0.0000 5.9794 0.0000 0.0000 -2.9897 6.1049" Properties=species:S:1:pos:R:3 pbc="T T T"
Tb 4.5007 0.0000 3.4933
Tb 1.5002 2.9897 2.6116
Ga 1.5002 0.0000 1.7544
Ga 0.0000 1.7309 0.0000
Ga 3.0005 4.2485 0.0000
Ga 3.0005 1.7309 0.0000
Ga 0.0000 4.2485 0.0000
Ga 4.5007 2.9897 4.3505
Cu 1.5002 2.9897 5.3089
Cu 4.5007 0.0000 0.7960
Pt 1.5002 0.0000 4.2593
Pt 4.5007 2.9897 1.8455
```

Computed properties:
size of the total moment: 0.0 μB per formula unit
D(E_F): 3.002 states/eV per cell
energy of formation from the pure elements: -0.41 eV per atom


[4]
A geometry-optimized YTi3As structure. Source: the Alexandria database, functional PBE.

```
5
Lattice="-1.3957 -4.4746 -1.0863 4.1311 -0.7154 -2.3606 2.0338 -1.6174 4.0494" Properties=species:S:1:pos:R:3 pbc="T T T"
Y 2.3846 -3.4037 0.3013
As 0.0000 0.0000 0.0000
Ti 2.0655 -0.3577 -1.1803
Ti 1.0169 -0.8087 2.0247
Ti -0.6978 -2.2373 -0.5431
```

Computed properties:
energy above the lowest structure with this stoichiometry: 0.000 eV per atom
size of the total moment: 0.0 μB per formula unit
D(E_F): 9.946 states/eV per cell
energy of formation from the pure elements: -0.02 eV per atom


[5]
A geometry-optimized Pr6NdHo5 structure. Source: the Alexandria database, functional PBE.

```
12
Lattice="-0.0132 3.6850 -3.6272 -8.5665 -3.8662 -3.8982 0.1208 4.6449 8.4076" Properties=species:S:1:pos:R:3 pbc="T T T"
Pr -4.9134 3.9151 0.3110
Pr -0.6537 5.8376 2.2494
Pr -6.2897 3.5972 3.6799
Pr -2.1691 0.8666 -2.7976
Pr -7.8052 -1.3738 -1.3671
Pr -3.5454 0.5487 0.5713
Nd 0.0000 0.0000 0.0000
Ho -1.4023 3.3671 -0.2588
Ho -2.7756 3.0320 3.0927
Ho -4.2832 -1.9331 -1.9491
Ho -5.6833 1.4317 -2.2104
Ho -7.0566 1.0966 1.1411
```

Computed properties:
size of the total moment: 0.0 μB per formula unit
D(E_F): 16.399 states/eV per cell
energy of formation from the pure elements: 0.02 eV per atom


[6]
A geometry-optimized LaTcTe2 structure. Source: the Alexandria database, functional PBE.

```
8
Lattice="-1.8484 -5.0968 -2.2473 3.1768 0.9804 -4.8365 6.6974 -5.6706 -0.3113" Properties=species:S:1:pos:R:3 pbc="T T T"
Te 1.0687 -4.0600 -1.9015
Te 3.2763 -1.8625 -3.5670
Te 5.7834 -5.7157 -3.2890
Te 5.9233 -7.9357 -6.0327
Tc 0.6642 -2.0582 -3.5419
Tc 5.2692 -3.3742 -4.3448
La 0.0000 0.0000 0.0000
La 2.7566 -6.4128 -3.0503
```

Computed properties:
energy above the lowest structure with this stoichiometry: 0.601 eV per atom
size of the total moment: 0.6 μB per formula unit
formation energy (no corrections): -0.8 eV per formula unit
D(E_F): 7.133 states/eV per cell